Record 1
! GGA-PBE GaBr, relaxed; values from VASP
&SYSTEM
  ibrav = 0, nat = 16, ntyp = 2
/
ATOMIC_SPECIES
Ga 69.72 Ga.upf
Br 79.90 Br.upf
CELL_PARAMETERS angstrom
7.392 0.000 0.000
0.000 7.047 0.000
0.000 0.000 9.563
ATOMIC_POSITIONS angstrom
Ga 5.543 6.924 3.547
Ga 1.846 3.647 1.234
Ga 1.850 3.400 6.016
Ga 5.546 0.123 8.328
Ga 1.850 0.123 6.016
Ga 5.546 3.400 8.328
Ga 5.543 3.647 3.547
Ga 1.846 6.924 1.234
Br 0.558 1.762 3.198
Br 4.254 1.762 1.583
Br 6.834 5.286 6.365
Br 3.138 5.286 7.979
Br 0.914 1.762 8.803
Br 4.610 1.762 5.541
Br 6.478 5.286 0.760
Br 2.782 5.286 4.021
! * ρ: 3.99 g/cm³
! * raw formation energy: -520 meV per atom
! * E_tot: -2.870 eV per atom

***

Record 2
! GGA-PBE LaSm2MgHg4, relaxed; values from VASP
&SYSTEM
  ibrav = 0, nat = 8, ntyp = 4
/
ATOMIC_SPECIES
La 138.91 La.upf
Sm 150.36 Sm.upf
Mg 24.30 Mg.upf
Hg 200.59 Hg.upf
CELL_PARAMETERS angstrom
5.214 0.000 0.000
2.607 4.516 0.000
2.607 1.505 9.099
ATOMIC_POSITIONS angstrom
La 0.000 0.000 0.000
Sm 7.821 4.516 6.592
Sm 2.607 1.505 2.507
Mg 5.214 3.010 4.550
Hg 5.214 3.010 7.819
Hg 7.821 4.516 3.450
Hg 2.607 1.505 5.650
Hg 5.214 3.010 1.280
! * ρ: 9.81 g/cm³
! * energy of formation: -450 meV/atom
! * E_tot: -2.596 eV per atom

***

Record 3
! GGA-PBE CeGaAu2, relaxed; values from VASP
&SYSTEM
  ibrav = 0, nat = 4, ntyp = 3
/
ATOMIC_SPECIES
Au 196.97 Au.upf
Ga 69.72 Ga.upf
Ce 140.12 Ce.upf
CELL_PARAMETERS angstrom
-2.879 -1.760 0.712
1.404 -2.844 -1.354
2.639 -1.735 6.379
ATOMIC_POSITIONS angstrom
Au 2.060 -1.354 4.980
Au 0.579 -0.381 1.400
Ga -0.737 -2.302 -0.321
Ce 0.582 -3.170 2.869
! * ρ: 11.84 g/cm³
! * energy of formation: -437 meV/atom
! * E_tot: -4.316 eV per atom

***

Record 4
! GGA-PBE EuPuTeBr, relaxed; values from VASP
&SYSTEM
  ibrav = 0, nat = 4, ntyp = 4
/
ATOMIC_SPECIES
Eu 151.96 Eu.upf
Te 127.60 Te.upf
Br 79.90 Br.upf
Pu 244.00 Pu.upf
CELL_PARAMETERS angstrom
5.439 0.000 0.000
2.719 4.710 0.000
2.719 1.570 4.441
ATOMIC_POSITIONS angstrom
Eu 5.439 3.140 2.220
Te 2.719 1.570 1.110
Br 8.158 4.710 3.331
Pu 0.000 0.000 0.000
! * ρ: 8.81 g/cm³
! * raw formation energy: -1041 meV per atom
! * E_tot: -8.396 eV per atom

***

Record 5
! GGA-PBE La4BiPb2, relaxed; values from VASP
&SYSTEM
  ibrav = 0, nat = 14, ntyp = 3
/
ATOMIC_SPECIES
La 138.91 La.upf
Bi 208.98 Bi.upf
Pb 207.20 Pb.upf
CELL_PARAMETERS angstrom
-4.199 -0.199 7.475
1.148 -7.997 -2.878
7.633 3.744 1.123
ATOMIC_POSITIONS angstrom
La 7.055 1.211 0.351
La -0.607 -0.654 2.559
La 5.466 -2.252 0.792
La -1.222 -3.112 5.440
La 3.213 1.213 3.113
La 1.709 -4.753 2.096
La 3.357 -2.351 4.525
La -0.639 -7.110 4.006
Bi -1.525 -4.098 2.299
Bi 0.955 -0.277 5.448
Pb 1.572 -4.861 5.647
Pb 2.248 -1.640 1.223
Pb 1.278 -5.548 -1.081
Pb 4.067 3.145 5.652
! * ρ: 8.06 g/cm³
! * energy of formation: -731 meV/atom
! * E_tot: -5.161 eV per atom

***

Record 6
! GGA-PBE AsPIrSe2, relaxed; values from VASP
&SYSTEM
  ibrav = 0, nat = 5, ntyp = 4
/
ATOMIC_SPECIES
P 30.97 P.upf
As 74.92 As.upf
Ir 192.22 Ir.upf
Se 78.96 Se.upf
CELL_PARAMETERS angstrom
-1.538 4.194 -2.183
-0.831 -2.500 -4.216
-4.353 -0.879 1.379
ATOMIC_POSITIONS angstrom
P -3.361 0.408 -2.510
As -2.177 -0.439 0.690
Ir 0.000 0.000 0.000
Se -0.416 -1.250 -2.108
Se -0.769 2.097 -1.092
! * ρ: 6.59 g/cm³
! * raw formation energy: 872 meV per atom
! * E_tot: -4.306 eV per atom

***

Record 7
! GGA-PBE NaMgGa2, relaxed; values from VASP
&SYSTEM
  ibrav = 0, nat = 8, ntyp = 3
/
ATOMIC_SPECIES
Na 22.99 Na.upf
Mg 24.30 Mg.upf
Ga 69.72 Ga.upf
CELL_PARAMETERS angstrom
7.948 0.000 0.000
0.000 7.948 0.000
3.974 3.974 2.985
ATOMIC_POSITIONS angstrom
Na 3.974 3.974 0.000
Na 3.974 7.948 1.493
Mg 0.000 0.000 0.000
Mg 7.948 3.974 1.493
Ga 6.121 1.987 0.746
Ga 1.827 5.961 0.746
Ga 5.961 5.802 2.239
Ga 9.935 10.095 2.239
! * ρ: 3.29 g/cm³
! * energy of formation: 137 meV/atom
! * E_tot: -2.105 eV per atom

***

Record 8
! GGA-PBE ScHgPCl2, relaxed; values from VASP
&SYSTEM
  ibrav = 0, nat = 5, ntyp = 4
/
ATOMIC_SPECIES
Sc 44.96 Sc.upf
P 30.97 P.upf
Hg 200.59 Hg.upf
Cl 35.45 Cl.upf
CELL_PARAMETERS angstrom
5.076 0.000 0.000
0.000 5.076 0.000
0.000 0.000 5.184
ATOMIC_POSITIONS angstrom
Sc 2.538 2.538 2.592
P 0.000 0.000 2.592
Hg 0.000 0.000 0.000
Cl 0.000 2.538 0.000
Cl 2.538 0.000 0.000
! * ρ: 4.32 g/cm³
! * raw formation energy: 151 meV per atom
! * E_tot: -2.997 eV per atom

***

Record 9
! GGA-PBE Ta2Nb5Sn, relaxed; values from VASP
&SYSTEM
  ibrav = 0, nat = 8, ntyp = 3
/
ATOMIC_SPECIES
Ta 180.95 Ta.upf
Nb 92.91 Nb.upf
Sn 118.71 Sn.upf
CELL_PARAMETERS angstrom
-4.265 1.968 0.207
-1.092 -1.931 -4.145
0.301 -5.507 5.153
ATOMIC_POSITIONS angstrom
Ta -1.204 -2.779 1.612
Ta -3.852 -2.692 -0.396
Nb -2.678 0.018 -1.969
Nb -2.755 -0.454 0.937
Nb -1.169 -2.403 -1.238
Nb -2.301 -5.017 0.278
Nb -3.887 -3.068 2.454
Sn 0.000 0.000 0.000
! * ρ: 10.48 g/cm³
! * energy of formation: -51 meV/atom
! * E_tot: -9.808 eV per atom

***

Record 10
! GGA-PBE RbNa2SbF6, relaxed; values from VASP
&SYSTEM
  ibrav = 0, nat = 10, ntyp = 4
/
ATOMIC_SPECIES
Rb 85.47 Rb.upf
Na 22.99 Na.upf
Sb 121.76 Sb.upf
F 19.00 F.upf
CELL_PARAMETERS angstrom
-4.903 -1.114 -3.680
-3.936 -4.632 1.369
-5.759 1.294 2.003
ATOMIC_POSITIONS angstrom
Rb -10.632 -3.699 -0.542
Na -7.031 -2.531 -0.418
Na -5.655 1.174 1.900
Sb -3.127 -1.708 -0.592
F -5.258 -1.679 -1.528
F -6.041 -4.253 0.657
F -8.060 -3.642 -2.095
F -8.882 -2.507 1.204
F -8.573 -0.628 -0.657
F -6.825 -0.823 1.341
! * ρ: 3.56 g/cm³
! * raw formation energy: -2628 meV per atom
! * E_tot: -4.523 eV per atom

***

Record 11
! GGA-PBE Y6Rh2Se3S, relaxed; values from VASP
&SYSTEM
  ibrav = 0, nat = 12, ntyp = 4
/
ATOMIC_SPECIES
Y 88.91 Y.upf
Rh 102.91 Rh.upf
Se 78.96 Se.upf
S 32.06 S.upf
CELL_PARAMETERS angstrom
-6.199 -1.952 2.502
5.650 -3.867 1.272
1.363 5.570 4.464
ATOMIC_POSITIONS angstrom
Y -1.386 0.237 6.500
Y -0.091 -2.998 3.795
Y 2.201 -0.486 1.737
Y 2.662 -0.418 6.080
Y 0.905 2.749 4.442
Y -1.848 0.169 2.157
Rh 1.709 -3.230 1.681
Rh -2.258 -2.589 2.093
Se 4.403 -0.771 3.704
Se -3.589 0.521 4.533
Se 0.407 -0.125 4.119
S 0.000 0.000 0.000
! * ρ: 5.80 g/cm³
! * raw formation energy: -1466 meV per atom
! * E_tot: -7.138 eV per atom

***

Record 12
! GGA-PBE PmPrSmAl, relaxed; values from VASP
&SYSTEM
  ibrav = 0, nat = 4, ntyp = 4
/
ATOMIC_SPECIES
Pm 145.00 Pm.upf
Pr 140.91 Pr.upf
Sm 150.36 Sm.upf
Al 26.98 Al.upf
CELL_PARAMETERS angstrom
-3.326 -3.445 0.986
1.782 -2.750 -3.598
3.105 -2.099 3.142
ATOMIC_POSITIONS angstrom
Pm -0.111 -2.772 2.064
Pr 2.443 -2.425 -0.228
Sm 0.000 0.000 0.000
Al -0.772 -3.097 -1.306
! * ρ: 6.61 g/cm³
! * energy of formation: -166 meV/atom
! * E_tot: -4.664 eV per atom

***

Record 13
! GGA-PBE Ac2AgRh2, relaxed; values from VASP
&SYSTEM
  ibrav = 0, nat = 5, ntyp = 3
/
ATOMIC_SPECIES
Ac 227.00 Ac.upf
Ag 107.87 Ag.upf
Rh 102.91 Rh.upf
CELL_PARAMETERS angstrom
-2.565 -3.730 -0.015
-1.239 -1.916 5.364
-5.458 1.000 1.784
ATOMIC_POSITIONS angstrom
Ac -4.397 -3.862 4.769
Ac -4.866 -0.783 2.365
Ag -1.902 -2.823 2.675
Rh -4.351 -3.882 1.678
Rh -4.912 -0.764 5.456
! * ρ: 10.31 g/cm³
! * energy of formation: -533 meV/atom
! * E_tot: -5.687 eV per atom

***

Record 14
! GGA-PBE YErPuSc, relaxed; values from VASP
&SYSTEM
  ibrav = 0, nat = 4, ntyp = 4
/
ATOMIC_SPECIES
Y 88.91 Y.upf
Sc 44.96 Sc.upf
Er 167.26 Er.upf
Pu 244.00 Pu.upf
CELL_PARAMETERS angstrom
5.454 0.000 0.000
2.727 4.723 0.000
2.727 1.574 4.453
ATOMIC_POSITIONS angstrom
Y 2.727 1.574 1.113
Sc 0.000 0.000 0.000
Er 5.454 3.149 2.226
Pu 8.180 4.723 3.340
! * ρ: 7.89 g/cm³
! * energy of formation: 179 meV/atom
! * E_tot: -7.744 eV per atom

***

Record 15
! GGA-PBE CaHoAgRu, relaxed; values from VASP
&SYSTEM
  ibrav = 0, nat = 4, ntyp = 4
/
ATOMIC_SPECIES
Ru 101.07 Ru.upf
Ca 40.08 Ca.upf
Ho 164.93 Ho.upf
Ag 107.87 Ag.upf
CELL_PARAMETERS angstrom
-0.096 4.506 2.066
-2.061 3.798 -2.430
-4.293 1.914 1.575
ATOMIC_POSITIONS angstrom
Ru -4.837 7.663 0.908
Ca 0.000 0.000 0.000
Ho -3.225 5.109 0.605
Ag -1.612 2.554 0.303
! * ρ: 7.98 g/cm³
! * energy of formation: -149 meV/atom
! * E_tot: -4.825 eV per atom

***

Record 16
! GGA-PBE Sc3Tc, relaxed; values from VASP
&SYSTEM
  ibrav = 0, nat = 8, ntyp = 2
/
ATOMIC_SPECIES
Sc 44.96 Sc.upf
Tc 98.00 Tc.upf
CELL_PARAMETERS angstrom
3.114 -5.394 0.000
3.114 5.394 0.000
0.000 0.000 4.763
ATOMIC_POSITIONS angstrom
Sc 3.114 -3.536 1.191
Sc 3.114 3.536 3.573
Sc 4.619 -0.929 1.191
Sc 1.610 0.929 3.573
Sc 1.610 -0.929 1.191
Sc 4.619 0.929 3.573
Tc 3.114 1.798 1.191
Tc 3.114 -1.798 3.573
! * ρ: 4.83 g/cm³
! * energy of formation: -67 meV/atom
! * E_tot: -7.407 eV per atom

***

Record 17
! GGA-PBE Mg2PaIr3, relaxed; values from VASP
&SYSTEM
  ibrav = 0, nat = 12, ntyp = 3
/
ATOMIC_SPECIES
Mg 24.30 Mg.upf
Pa 231.04 Pa.upf
Ir 192.22 Ir.upf
CELL_PARAMETERS angstrom
-2.174 1.317 -2.645
3.154 -0.771 -2.977
-4.737 -11.774 -1.970
ATOMIC_POSITIONS angstrom
Mg -3.209 -7.974 -1.334
Mg -1.529 -3.800 -0.636
Mg -1.436 -1.156 -4.482
Mg -4.494 -8.756 -5.753
Pa -0.792 -6.272 -2.474
Pa -2.173 1.317 -2.644
Ir -2.652 -7.537 -4.118
Ir -3.456 -5.228 -2.308
Ir -1.105 -3.691 -3.474
Ir -1.860 -1.265 -1.644
Ir 0.491 0.272 -2.810
Ir -5.050 -9.193 -2.970
! * ρ: 13.70 g/cm³
! * energy of formation: -646 meV/atom
! * E_tot: -7.191 eV per atom

***

Record 18
! GGA-PBE TbUIrPd, relaxed; values from VASP
&SYSTEM
  ibrav = 0, nat = 4, ntyp = 4
/
ATOMIC_SPECIES
Tb 158.93 Tb.upf
Ir 192.22 Ir.upf
U 238.03 U.upf
Pd 106.42 Pd.upf
CELL_PARAMETERS angstrom
4.906 0.000 0.000
2.453 4.249 0.000
2.453 1.416 4.006
ATOMIC_POSITIONS angstrom
Tb 7.359 4.249 3.004
Ir 0.000 0.000 0.000
U 2.453 1.416 1.001
Pd 4.906 2.832 2.003
! * ρ: 13.84 g/cm³
! * energy of formation: -498 meV/atom
! * E_tot: -7.991 eV per atom

***

Record 19
! GGA-PBE KTc2Ir, relaxed; values from VASP
&SYSTEM
  ibrav = 0, nat = 4, ntyp = 3
/
ATOMIC_SPECIES
Ir 192.22 Ir.upf
K 39.10 K.upf
Tc 98.00 Tc.upf
CELL_PARAMETERS angstrom
-0.695 -1.305 4.477
1.356 -2.936 3.432
4.785 4.209 2.822
ATOMIC_POSITIONS angstrom
Ir 3.165 0.498 5.430
K 1.409 0.058 2.674
Tc 4.240 3.590 2.718
Tc 4.141 0.016 8.097
! * ρ: 8.08 g/cm³
! * energy of formation: 775 meV/atom
! * E_tot: -6.897 eV per atom

***

Record 20
! GGA-PBE Re2Sb, relaxed; values from VASP
&SYSTEM
  ibrav = 0, nat = 3, ntyp = 2
/
ATOMIC_SPECIES
Re 186.21 Re.upf
Sb 121.76 Sb.upf
CELL_PARAMETERS angstrom
3.669 0.000 0.000
0.000 3.669 0.000
0.000 0.000 4.458
ATOMIC_POSITIONS angstrom
Re 0.000 1.834 2.229
Re 1.834 0.000 2.229
Sb 0.000 0.000 0.000
! * ρ: 13.68 g/cm³
! * raw formation energy: 977 meV per atom
! * E_tot: -8.696 eV per atom

***

Record 21
! GGA-PBE GeW, relaxed; values from VASP
&SYSTEM
  ibrav = 0, nat = 32, ntyp = 2
/
ATOMIC_SPECIES
Ge 72.64 Ge.upf
W 183.84 W.upf
CELL_PARAMETERS angstrom
-9.260 -1.757 2.965
2.467 -0.793 7.233
-0.980 7.025 1.104
ATOMIC_POSITIONS angstrom
Ge 0.481 -0.155 1.410
Ge 1.986 -0.639 5.823
Ge -1.191 0.877 5.032
Ge -0.229 0.567 7.852
Ge 1.224 2.961 5.579
Ge 0.263 3.270 2.759
Ge -2.914 4.785 1.968
Ge -1.952 4.476 4.788
Ge -4.639 2.479 3.445
Ge -3.134 1.995 7.858
Ge -6.311 3.510 7.067
Ge -5.349 3.201 9.887
Ge -2.916 -1.430 6.509
Ge -3.878 -1.121 3.689
Ge -7.054 0.394 2.898
Ge -6.093 0.085 5.718
W -0.315 2.258 0.355
W -0.665 4.766 0.749
W -1.375 5.488 7.192
W -1.025 2.980 6.797
W 0.429 5.374 4.524
W 1.058 0.857 3.814
W -2.118 2.372 3.023
W -1.768 -0.135 2.629
W -5.435 4.892 2.390
W -4.805 0.375 1.680
W -5.515 1.097 8.122
W -5.165 -1.411 7.728
W -3.712 0.983 5.454
W -4.061 3.491 5.848
W -7.238 5.006 5.057
W -6.888 2.498 4.663
! * ρ: 12.50 g/cm³
! * energy of formation: 562 meV/atom
! * E_tot: -8.224 eV per atom

***

Record 22
! GGA-PBE Rb2BaTlSe4, relaxed; values from VASP
&SYSTEM
  ibrav = 0, nat = 16, ntyp = 4
/
ATOMIC_SPECIES
Rb 85.47 Rb.upf
Ba 137.33 Ba.upf
Tl 204.38 Tl.upf
Se 78.96 Se.upf
CELL_PARAMETERS angstrom
-1.110 -7.635 -5.373
6.361 -4.356 5.382
-7.857 4.631 4.046
ATOMIC_POSITIONS angstrom
Rb -0.555 -3.818 -2.687
Rb -4.484 -1.502 -0.664
Rb -3.929 2.315 2.023
Rb 2.625 -5.996 0.004
Ba 3.180 -2.178 2.691
Ba -1.858 -7.498 -0.659
Tl -1.303 -3.680 2.027
Tl -8.967 -3.004 -1.328
Se -3.242 -0.392 6.711
Se -3.202 -4.613 -0.502
Se 0.596 -2.747 4.557
Se 0.636 -6.968 -2.656
Se -3.625 -4.920 3.970
Se -0.327 -6.139 2.051
Se -2.279 -1.221 2.004
Se 1.019 -2.440 0.085
! * ρ: 4.65 g/cm³
! * raw formation energy: -871 meV per atom
! * E_tot: -3.392 eV per atom

***

Record 23
! GGA-PBE ZrCd6Hg, relaxed; values from VASP
&SYSTEM
  ibrav = 0, nat = 8, ntyp = 3
/
ATOMIC_SPECIES
Zr 91.22 Zr.upf
Cd 112.41 Cd.upf
Hg 200.59 Hg.upf
CELL_PARAMETERS angstrom
-2.678 3.497 1.557
-4.963 -3.881 0.183
0.038 -2.539 5.769
ATOMIC_POSITIONS angstrom
Zr -1.339 1.748 0.778
Cd -3.573 -3.508 1.735
Cd -1.352 -2.912 4.216
Cd -3.882 -5.061 4.691
Cd -1.043 -1.359 1.260
Cd -3.820 -0.192 0.870
Cd -1.320 0.479 3.663
Hg -3.801 -1.462 3.754
! * ρ: 8.98 g/cm³
! * energy of formation: -22 meV/atom
! * E_tot: -1.814 eV per atom

***

Record 24
! GGA-PBE TmCdAgAu, relaxed; values from VASP
&SYSTEM
  ibrav = 0, nat = 4, ntyp = 4
/
ATOMIC_SPECIES
Tm 168.93 Tm.upf
Au 196.97 Au.upf
Ag 107.87 Ag.upf
Cd 112.41 Cd.upf
CELL_PARAMETERS angstrom
-2.210 4.172 -1.292
-4.653 -0.064 -1.519
-3.524 1.880 2.829
ATOMIC_POSITIONS angstrom
Tm -2.597 1.497 0.005
Au 0.000 0.000 0.000
Ag -5.194 2.994 0.009
Cd -7.791 4.492 0.014
! * ρ: 11.74 g/cm³
! * energy of formation: -476 meV/atom
! * E_tot: -3.355 eV per atom